DFT (PBE) results for a geometry-optimized Li2AcNd2Bi2 structure.

Lattice parameters (Å, degrees): 4.9764 4.9764 10.0609 75.68 75.68 60.00
Last column: nearest neighbours and their distance in Å.
Sites, in units of the cell vectors:
Li1 0.5823 0.5823 0.2531  3 Bi 2.89, 3 Nd 3.20
Li2 0.4177 0.4177 0.7469  3 Bi 2.89, 3 Nd 3.20
Ac1 0.0000 0.0000 0.0000  6 Bi 3.57, 6 Li 3.77, 2 Nd 3.84
Nd1 0.1328 0.1328 0.6015  3 Li 3.20, 3 Bi 3.35, 3 Nd 3.48
Nd2 0.8672 0.8672 0.3985  3 Li 3.20, 3 Bi 3.35, 3 Nd 3.48
Bi1 0.7397 0.7397 0.7808  3 Li 2.89
Bi2 0.2603 0.2603 0.2192  3 Li 2.89

Properties
- V (Å³ per atom) = 29.5
- total moment (μB per cell) = 0.0
- space-group type = R-3m, No. 166
- energy of formation from the pure elements (eV/atom) = -0.467